{"formula": "Cr2TcNi", "functional": "PBE", "state": "relaxed", "lattice_angstrom": [[-0.065, 0.103, -3.666], [3.204, -1.783, -0.107], [-1.759, -3.157, -0.058]], "species": ["Ni", "Tc", "Cr", "Cr"], "frac_coords": [[0.500, 0.000, 0.500], [0.000, 0.500, 0.500], [0.000, 0.000, 0.000], [0.500, 0.500, 0.000]]}

---

{"formula": "Ca2BF", "functional": "PBE", "state": "relaxed", "formation_energy_uncorrected_mev_per_atom": -938, "lattice_angstrom": [[-5.497, -0.611, 3.302], [2.701, -4.568, 3.651], [-0.178, 0.163, 6.018]], "species": ["Ca", "Ca", "Ca", "Ca", "B", "B", "F", "F"], "frac_coords": [[0.653, 0.125, 0.250], [0.097, 0.625, 0.250], [0.375, 0.347, 0.750], [0.875, 0.903, 0.750], [0.500, 0.500, 0.000], [0.250, 0.750, 0.500], [0.000, 0.000, 0.000], [0.750, 0.250, 0.500]]}

---

{"formula": "Rb2TbPmSe4", "functional": "PBE", "state": "relaxed", "formation_energy_uncorrected_mev_per_atom": -1739, "lattice_angstrom": [[-0.028, 3.896, 1.832], [-0.910, -3.155, 6.694], [8.251, 0.681, -1.324]], "species": ["Rb", "Rb", "Tb", "Pm", "Se", "Se", "Se", "Se"], "frac_coords": [[0.500, 0.000, 0.500], [0.000, 0.500, 0.500], [0.000, 0.000, 0.000], [0.500, 0.500, 0.000], [0.500, 0.228, 0.197], [0.500, 0.772, 0.803], [0.000, 0.262, 0.801], [0.000, 0.738, 0.199]]}

---

{"formula": "DyY6Cd", "functional": "PBE", "state": "relaxed", "lattice_angstrom": [[-5.038, -7.507, -2.158], [0.277, -3.723, -7.726], [1.082, -5.948, -1.858]], "species": ["Dy", "Y", "Y", "Y", "Y", "Y", "Y", "Cd"], "frac_coords": [[0.500, 0.500, 0.500], [0.041, 0.449, 0.751], [0.759, 0.959, 0.731], [0.551, 0.241, 0.167], [0.241, 0.041, 0.269], [0.959, 0.551, 0.249], [0.449, 0.759, 0.833], [0.000, 0.000, 0.000]]}

---

{"formula": "Ho2RhBr", "functional": "PBE", "state": "relaxed", "formation_energy_uncorrected_mev_per_atom": -1091, "lattice_angstrom": [[-0.691, 1.790, -3.545], [0.039, -2.171, -3.397], [-7.778, -1.402, 0.835]], "species": ["Ho", "Ho", "Rh", "Br"], "frac_coords": [[0.874, 0.874, 0.084], [0.209, 0.209, 0.448], [0.541, 0.541, 0.258], [0.876, 0.876, 0.711]]}

---

Number 1: spin magnetization 0.00 μB per cell, energy -8.797 eV per atom. Number 2: spin magnetization 0.00 μB per cell, energy -4.076 eV per atom. Number 3: spin magnetization 0.00 μB per cell, energy -4.896 eV per atom. Number 4: spin magnetization 0.00 μB per cell, energy -5.500 eV per atom. Number 5: spin magnetization 0.00 μB per cell, energy -5.636 eV per atom.